Density functional theory data (PBE-GGA) for a geometry-optimized ScCu2 structure.

The structure belongs to space group P-62m (No. 189); the cell edges are 6.3639, 6.3639 and 4.4166 Å and the angles 90.00°, 90.00° and 120.00°. The inequivalent atoms are Sc at (0.0000, 0.0000, 0.0000), Sc at (0.3333, 0.6667, 0.5000), Cu at (0.0000, 0.2250, 0.5000) and Cu at (0.0000, 0.4464, 0.0000).

For the formation energy, the calculation gives 0.022 eV/atom.